1.
# PuAl6Cu12 | Alexandria | PBE | optimized geometry
# DOS(E_F)   61.84 states/eV per cell
# Magnetization   0.30 μB/atom
# Crystal system   trigonal
data_PuAl6Cu12
_chemical_formula_sum 'Pu3 Al18 Cu36'
_symmetry_space_group_name_H-M 'R -3 m'
_symmetry_Int_Tables_number 166
_symmetry_space_group_name_Hall '-R 3 2"'
_cell_length_a 10.7591
_cell_length_b 10.7591
_cell_length_c 8.4978
_cell_angle_alpha 90.00
_cell_angle_beta 90.00
_cell_angle_gamma 120.00
loop_
_atom_site_label
_atom_site_type_symbol
_atom_site_fract_x
_atom_site_fract_y
_atom_site_fract_z
_atom_site_occupancy
Pu1 Pu 0.0000 0.0000 0.0000 1
Al1 Al 0.0552 0.5276 0.2443 1
Cu1 Cu 0.0000 0.3886 0.5000 1
Cu2 Cu 0.0853 0.1705 0.2922 1

=====

2.
# PuAl2Cu2 | Alexandria | PBE | optimized geometry
# DOS(E_F)   14.28 states/eV per cell
# Magnetization   1.11 μB/atom
# Crystal system   tetragonal
data_PuAl2Cu2
_chemical_formula_sum 'Pu2 Al4 Cu4'
_symmetry_space_group_name_H-M 'P 4/m b m'
_symmetry_Int_Tables_number 127
_symmetry_space_group_name_Hall '-P 4 2ab'
_cell_length_a 7.808
_cell_length_b 7.808
_cell_length_c 2.658
_cell_angle_alpha 90.00
_cell_angle_beta 90.00
_cell_angle_gamma 90.00
loop_
_atom_site_label
_atom_site_type_symbol
_atom_site_fract_x
_atom_site_fract_y
_atom_site_fract_z
_atom_site_occupancy
Pu1 Pu 0.000 0.000 0.000 1
Al1 Al 0.129 0.371 0.000 1
Cu1 Cu 0.162 0.662 0.500 1

=====

3.
# PuAlCu | Alexandria | PBE | optimized geometry
# DOS(E_F)   142.05 states/eV per cell
# Magnetization   1.97 μB/atom
# Crystal system   orthorhombic
data_PuAlCu
_chemical_formula_sum 'Pu16 Al16 Cu16'
_symmetry_space_group_name_H-M 'F m m m'
_symmetry_Int_Tables_number 69
_symmetry_space_group_name_Hall '-F 2 2'
_cell_length_a 5.233
_cell_length_b 13.526
_cell_length_c 13.662
_cell_angle_alpha 90.00
_cell_angle_beta 90.00
_cell_angle_gamma 90.00
loop_
_atom_site_label
_atom_site_type_symbol
_atom_site_fract_x
_atom_site_fract_y
_atom_site_fract_z
_atom_site_occupancy
Pu1 Pu 0.000 0.117 0.113 1
Al1 Al 0.000 0.000 0.311 1
Al2 Al 0.000 0.104 0.500 1
Cu1 Cu 0.000 0.186 0.314 1

=====

4.
# PuAl2Cu | Alexandria | PBE | optimized geometry
# DOS(E_F)   16.49 states/eV per cell
# Magnetization   1.19 μB/atom
# Crystal system   trigonal
data_PuAl2Cu
_chemical_formula_sum 'Pu3 Al6 Cu3'
_symmetry_space_group_name_H-M 'R -3 m'
_symmetry_Int_Tables_number 166
_symmetry_space_group_name_Hall '-R 3 2"'
_cell_length_a 2.8365
_cell_length_b 2.8365
_cell_length_c 30.3776
_cell_angle_alpha 90.00
_cell_angle_beta 90.00
_cell_angle_gamma 120.00
loop_
_atom_site_label
_atom_site_type_symbol
_atom_site_fract_x
_atom_site_fract_y
_atom_site_fract_z
_atom_site_occupancy
Pu1 Pu 0.0000 0.0000 0.0000 1
Al1 Al 0.0000 0.0000 0.0994 1
Cu1 Cu 0.0000 0.0000 0.5000 1

=====

5.
# PuAl3Cu2 | Alexandria | PBE | optimized geometry
# DOS(E_F)   35.64 states/eV per cell
# Magnetization   0.99 μB/atom
# Crystal system   orthorhombic
data_PuAl3Cu2
_chemical_formula_sum 'Pu4 Al12 Cu8'
_symmetry_space_group_name_H-M 'C m c m'
_symmetry_Int_Tables_number 63
_symmetry_space_group_name_Hall '-C 2c 2'
_cell_length_a 10.130
_cell_length_b 8.009
_cell_length_c 5.084
_cell_angle_alpha 90.00
_cell_angle_beta 90.00
_cell_angle_gamma 90.00
loop_
_atom_site_label
_atom_site_type_symbol
_atom_site_fract_x
_atom_site_fract_y
_atom_site_fract_z
_atom_site_occupancy
Pu1 Pu 0.000 0.152 0.250 1
Al1 Al 0.000 0.446 0.750 1
Al2 Al 0.186 0.222 0.750 1
Cu1 Cu 0.209 0.500 0.000 1

=====

6.
# Pu3Al2Cu7 | Alexandria | PBE | optimized geometry
# DOS(E_F)   73.35 states/eV per cell
# Magnetization   1.46 μB/atom
# Crystal system   trigonal
data_Pu3Al2Cu7
_chemical_formula_sum 'Pu9 Al6 Cu21'
_symmetry_space_group_name_H-M 'R -3 m'
_symmetry_Int_Tables_number 166
_symmetry_space_group_name_Hall '-R 3 2"'
_cell_length_a 5.2940
_cell_length_b 5.2940
_cell_length_c 24.5508
_cell_angle_alpha 90.00
_cell_angle_beta 90.00
_cell_angle_gamma 120.00
loop_
_atom_site_label
_atom_site_type_symbol
_atom_site_fract_x
_atom_site_fract_y
_atom_site_fract_z
_atom_site_occupancy
Pu1 Pu 0.0000 0.0000 0.0000 1
Pu2 Pu 0.0000 0.0000 0.1448 1
Al1 Al 0.0000 0.0000 0.3318 1
Cu1 Cu 0.0000 0.0000 0.5000 1
Cu2 Cu 0.0034 0.5017 0.0815 1

=====

7.
# PuAl2Cu | Alexandria | PBE | optimized geometry
# DOS(E_F)   32.62 states/eV per cell
# Magnetization   1.35 μB/atom
# Crystal system   orthorhombic
data_PuAl2Cu
_chemical_formula_sum 'Pu4 Al8 Cu4'
_symmetry_space_group_name_H-M 'P n m a'
_symmetry_Int_Tables_number 62
_symmetry_space_group_name_Hall '-P 2ac 2n'
_cell_length_a 6.309
_cell_length_b 4.549
_cell_length_c 10.292
_cell_angle_alpha 90.00
_cell_angle_beta 90.00
_cell_angle_gamma 90.00
loop_
_atom_site_label
_atom_site_type_symbol
_atom_site_fract_x
_atom_site_fract_y
_atom_site_fract_z
_atom_site_occupancy
Pu1 Pu 0.245 0.250 0.154 1
Al1 Al 0.070 0.250 0.848 1
Al2 Al 0.245 0.750 0.951 1
Cu1 Cu 0.046 0.750 0.386 1

=====

8.
# PuAl6Cu6 | Alexandria | PBE | optimized geometry
# DOS(E_F)   20.89 states/eV per cell
# Magnetization   0.42 μB/atom
# Crystal system   orthorhombic
data_PuAl6Cu6
_chemical_formula_sum 'Pu2 Al12 Cu12'
_symmetry_space_group_name_H-M 'I m m m'
_symmetry_Int_Tables_number 71
_symmetry_space_group_name_Hall '-I 2 2'
_cell_length_a 5.059
_cell_length_b 8.642
_cell_length_c 8.763
_cell_angle_alpha 90.00
_cell_angle_beta 90.00
_cell_angle_gamma 90.00
loop_
_atom_site_label
_atom_site_type_symbol
_atom_site_fract_x
_atom_site_fract_y
_atom_site_fract_z
_atom_site_occupancy
Pu1 Pu 0.000 0.000 0.000 1
Al1 Al 0.000 0.000 0.348 1
Al2 Al 0.000 0.346 0.000 1
Al3 Al 0.000 0.500 0.300 1
Cu1 Cu 0.000 0.268 0.500 1
Cu2 Cu 0.250 0.250 0.250 1

=====

9.
# PuAl4Cu2 | Alexandria | PBE | optimized geometry
# DOS(E_F)   47.38 states/eV per cell
# Magnetization   0.78 μB/atom
# Crystal system   orthorhombic
data_PuAl4Cu2
_chemical_formula_sum 'Pu4 Al16 Cu8'
_symmetry_space_group_name_H-M 'P n m a'
_symmetry_Int_Tables_number 62
_symmetry_space_group_name_Hall '-P 2ac 2n'
_cell_length_a 16.925
_cell_length_b 4.223
_cell_length_c 6.561
_cell_angle_alpha 90.00
_cell_angle_beta 90.00
_cell_angle_gamma 90.00
loop_
_atom_site_label
_atom_site_type_symbol
_atom_site_fract_x
_atom_site_fract_y
_atom_site_fract_z
_atom_site_occupancy
Pu1 Pu 0.135 0.250 0.009 1
Al1 Al 0.034 0.750 0.815 1
Al2 Al 0.076 0.250 0.500 1
Al3 Al 0.187 0.750 0.318 1
Al4 Al 0.194 0.750 0.721 1
Cu1 Cu 0.039 0.750 0.251 1
Cu2 Cu 0.220 0.250 0.523 1

=====

10.
# PuAlCu | Alexandria | PBE | optimized geometry
# DOS(E_F)   6.28 states/eV per cell
# Magnetization   1.74 μB/atom
# Crystal system   hexagonal
data_PuAlCu
_chemical_formula_sum 'Pu1 Al1 Cu1'
_symmetry_space_group_name_H-M 'P -6 m 2'
_symmetry_Int_Tables_number 187
_symmetry_space_group_name_Hall 'P -6 2'
_cell_length_a 4.6425
_cell_length_b 4.6425
_cell_length_c 2.9213
_cell_angle_alpha 90.00
_cell_angle_beta 90.00
_cell_angle_gamma 120.00
loop_
_atom_site_label
_atom_site_type_symbol
_atom_site_fract_x
_atom_site_fract_y
_atom_site_fract_z
_atom_site_occupancy
Pu1 Pu 0.0000 0.0000 0.0000 1
Al1 Al 0.3333 0.6667 0.5000 1
Cu1 Cu 0.6667 0.3333 0.5000 1

=====

Calculated raw total energy, -4.560; -6.143; -7.280; -6.299; -5.880; -6.700; -6.706; -5.011; -5.624; -7.569 eV per atom (same order as the records).